[1]
Computed, not measured: crystalline YTa2Se at its relaxed geometry at the PBE level of DFT.

a b c (Å): 5.162 3.326 4.937
angles (deg): 85.76 90.00 90.00
Positions (direct):
Se (0.500, 0.750, 0.750)
Ta (0.000, 0.878, 0.001)
Ta (0.000, 0.622, 0.499)
Y (0.500, 0.250, 0.250)

Properties
For the total moment, the calculation gives 0.0 μB/cell. Its formation energy without anion corrections is 0.02 eV per atom.



[2]
Computed, not measured: crystalline Ce8C3I4N at its relaxed geometry at the PBE level of DFT.

a b c (Å): 7.555 8.917 7.558
angles (deg): 115.10 119.99 90.00
Site moments in Bohr magnetons follow the coordinates.
Positions (direct):
Ce (0.222, 0.672, 0.445)  0.67
Ce (0.272, 0.328, 0.050)  0.67
Ce (0.778, 0.328, 0.555)  0.67
Ce (0.724, 0.673, 0.449)  0.57
Ce (0.276, 0.327, 0.551)  0.57
Ce (0.222, 0.672, 0.950)  0.67
Ce (0.778, 0.328, 0.050)  0.67
Ce (0.728, 0.672, 0.950)  0.67
I (0.500, 0.000, 0.000)  -0.01
I (0.000, 0.000, 0.000)  -0.01
I (0.000, 0.000, 0.500)  -0.01
I (0.500, 0.000, 0.500)  -0.01
C (0.000, 0.500, 0.500)  -0.03
C (0.500, 0.500, 0.500)  -0.03
C (0.500, 0.500, 0.000)  -0.03
N (0.000, 0.500, 0.000)  -0.04

Properties
For the total moment, the calculation gives 6.0 μB/cell. Its formation energy without anion corrections is -0.77 eV per atom.



[3]
Computed, not measured: crystalline CsAc2Zn2O6 at its relaxed geometry at the PBE level of DFT.

a b c (Å): 6.869 6.587 7.008
angles (deg): 117.52 84.24 66.35
Site moments in Bohr magnetons follow the coordinates.
Positions (direct):
Cs (0.500, 0.000, 0.500)  0.00
O (0.928, 0.451, 0.171)  0.13
O (0.129, 0.889, 0.608)  0.08
O (0.587, 0.320, 0.076)  0.15
O (0.413, 0.680, 0.924)  0.15
O (0.871, 0.111, 0.392)  0.08
O (0.072, 0.549, 0.829)  0.13
Zn (0.799, 0.263, 0.225)  0.05
Zn (0.201, 0.737, 0.775)  0.05
Ac (0.178, 0.626, 0.189)  0.02
Ac (0.822, 0.374, 0.811)  0.02

Properties
For the total moment, the calculation gives 1.0 μB/cell. Its formation energy without anion corrections is -2.07 eV per atom.



[4]
Computed, not measured: crystalline CaIn2HgP at its relaxed geometry at the PBE level of DFT.

a b c (Å): 5.945 5.613 5.945
angles (deg): 90.00 90.00 90.00
Site moments in Bohr magnetons follow the coordinates.
Positions (direct):
P (0.500, 0.500, 0.500)  0.48
In (0.500, 0.000, 0.000)  -0.04
In (0.000, 0.000, 0.500)  -0.03
Ca (0.000, 0.000, 0.000)  -0.04
Hg (0.000, 0.500, 0.000)  0.00

Properties
Its calculated formation energy is 0.88 eV/atom. For the total moment, the calculation gives 0.7 μB/cell.



[5]
Computed, not measured: crystalline LiAsRu2W at its relaxed geometry at the PBE level of DFT.

a b c (Å): 4.183 4.046 4.183
angles (deg): 90.00 90.00 90.00
Positions (direct):
As (0.000, 0.500, 0.000)
Ru (0.000, 0.000, 0.500)
Ru (0.500, 0.000, 0.000)
Li (0.000, 0.000, 0.000)
W (0.500, 0.500, 0.500)

Properties
Its calculated formation energy is 1.05 eV/atom. For the total moment, the calculation gives 0.0 μB/cell.



[6]
Computed, not measured: crystalline La2CrSe at its relaxed geometry at the PBE level of DFT.

a b c (Å): 3.770 3.797 8.376
angles (deg): 62.97 90.00 90.00
Site moments in Bohr magnetons follow the coordinates.
Positions (direct):
La (0.000, 0.502, 0.497)  -0.19
La (0.000, 0.998, 0.003)  -0.19
Se (0.500, 0.250, 0.250)  0.03
Cr (0.500, 0.750, 0.750)  3.55

Properties
For the total moment, the calculation gives 3.2 μB/cell. Its formation energy without anion corrections is -0.53 eV per atom.